[1]
DFT (GGA+U) results for Dy2W2O9 after structural relaxation.

Results
SG = P-1 (2)
Crystal system = triclinic
Calculated density = 8.32 g cm⁻³
Electronic total energy = -7.868 eV per atom

Lattice parameters (Å, degrees): 6.7191 7.1307 7.4471 70.99 84.34 82.76
Closest atoms and distances in Å follow each position.
Sites, in units of the cell vectors:
O  0.8525  0.0715  0.2213  1 W 1.93
O  0.6821  0.9042  0.5478  1 W 1.92
O  0.5034  0.7543  0.9026  1 W 1.85
W  0.1602  0.2046  0.6310  5 O 1.83-1.95
O  0.9628  0.7423  0.1394  2 W 1.95-2.07
Dy  0.1544  0.2633  0.1527  8 O 2.29-2.54
O  0.1475  0.9285  0.7787  1 W 1.93
O  0.0448  0.6994  0.5306  1 W 1.83
O  0.0372  0.2577  0.8606  2 W 1.95-2.07
O  0.6337  0.6410  0.3778  1 W 1.86
Dy  0.3883  0.7008  0.6296  8 O 2.35-2.58
Dy  0.8456  0.7367  0.8473  8 O 2.29-2.54
W  0.7342  0.2611  0.9480  4 O 1.83-2.01
O  0.3663  0.3590  0.6222  1 W 1.86
O  0.3179  0.0958  0.4522  1 W 1.92
O  0.1810  0.5683  0.9098  1 W 2.01
Dy  0.6117  0.2992  0.3704  8 O 2.35-2.58
O  0.9552  0.3006  0.4694  1 W 1.83
O  0.7324  0.0525  0.8570  1 W 1.83
O  0.4966  0.2457  0.0974  1 W 1.85
O  0.8190  0.4317  0.0902  1 W 2.01
O  0.3247  0.5108  0.2508  1 W 1.84
W  0.8398  0.7954  0.3690  5 O 1.83-1.95
O  0.6753  0.4892  0.7492  1 W 1.84
W  0.2658  0.7389  0.0520  4 O 1.83-2.01
O  0.2676  0.9475  0.1430  1 W 1.83

---

[2]
DFT (GGA+U) results for Dy5W2O12 after structural relaxation.

Results
SG = C2/m (12)
Crystal system = monoclinic
Calculated density = 8.79 g cm⁻³
Electronic total energy = -8.159 eV per atom

Lattice parameters (Å, degrees): 5.7794 6.8448 7.6045 106.29 90.00 114.97
Closest atoms and distances in Å follow each position.
Sites, in units of the cell vectors:
Dy  0.3033  0.6067  0.6385  7 O 2.28-2.45
Dy  0.3131  0.6262  0.1794  7 O 2.29-2.54
O  0.9975  0.9950  0.2070  2 W 2.03, 1 Dy 2.22
O  0.5926  0.6903  0.4262  4 Dy 2.28-2.34
O  0.0025  0.0050  0.7930  2 W 2.03, 1 Dy 2.22
O  0.4074  0.3097  0.5738  4 Dy 2.28-2.34
O  0.9091  0.3314  0.0862  1 W 1.97
Dy  0.6869  0.3738  0.8206  7 O 2.29-2.54
W  0.7807  0.0000  0.0000  6 O 1.97-2.13
O  0.5777  0.6686  0.9138  1 W 1.97
O  0.5002  0.0003  0.8184  2 W 2.13, 1 Dy 2.31
W  0.2193  0.0000  0.0000  6 O 1.97-2.13
O  0.0977  0.6903  0.4262  4 Dy 2.28-2.34
Dy  0.0000  0.0000  0.5000  6 O 2.22-2.34
O  0.4223  0.3314  0.0862  1 W 1.97
O  0.9023  0.3097  0.5738  4 Dy 2.28-2.34
Dy  0.6967  0.3933  0.3615  7 O 2.28-2.45
O  0.4998  0.9997  0.1816  2 W 2.13, 1 Dy 2.31
O  0.0909  0.6686  0.9138  1 W 1.97

---

[3]
DFT (GGA+U) results for DyWO5 after structural relaxation.

Results
SG = Immm (71)
Crystal system = orthorhombic
Energy above the most stable polymorph in this dataset = 3.6 kJ/mol of atoms
Calculated density = 6.71 g cm⁻³
Electronic total energy = -7.533 eV per atom

Lattice parameters (Å, degrees): 3.8600 5.6324 5.6324 72.17 69.96 69.96
Closest atoms and distances in Å follow each position.
Sites, in units of the cell vectors:
O  0.2688  0.7312  0.7312  1 W 1.91
O  0.0000  0.5000  0.5000  2 W 1.93
Dy  0.0000  0.0000  0.0000  6 O 2.22-2.36
O  0.5000  0.7945  0.2055  1 W 1.95
W  0.5000  0.5000  0.5000  6 O 1.91-1.95
O  0.7312  0.2688  0.2688  1 W 1.91
O  0.5000  0.2055  0.7945  1 W 1.95

---

[4]
DFT (GGA+U) results for DyWO5 after structural relaxation.

Results
SG = C2/c (15)
Crystal system = monoclinic
Energy above the most stable polymorph in this dataset = 0.0 kJ/mol of atoms
Calculated density = 6.92 g cm⁻³
Electronic total energy = -7.571 eV per atom

Lattice parameters (Å, degrees): 5.5751 5.5751 7.6597 70.10 70.10 71.12
Closest atoms and distances in Å follow each position.
Sites, in units of the cell vectors:
O  0.7158  0.3021  0.5383  1 W 1.93
O  0.6979  0.2842  0.9617  1 W 1.93
O  0.3021  0.7158  0.0383  1 W 1.93
O  0.2842  0.6979  0.4617  1 W 1.93
O  0.2470  0.2134  0.3832  1 W 1.90
O  0.2134  0.2470  0.8832  1 W 1.90
W  0.0000  0.0000  0.0000  6 O 1.90-1.98
W  0.0000  0.0000  0.5000  6 O 1.90-1.98
O  0.7530  0.7866  0.6168  1 W 1.90
O  0.7866  0.7530  0.1168  1 W 1.90
O  0.9217  0.0783  0.2500  2 W 1.98
Dy  0.4500  0.5500  0.7500  7 O 2.23-2.46
O  0.0783  0.9217  0.7500  2 W 1.98
Dy  0.5500  0.4500  0.2500  7 O 2.23-2.46

---

[5]
DFT (GGA+U) results for Dy3WO6 after structural relaxation.

Results
SG = Cmc2_1 (36)
Crystal system = orthorhombic
Calculated density = 9.02 g cm⁻³
Electronic total energy = -8.039 eV per atom

Lattice parameters (Å, degrees): 5.6930 7.1320 7.1320 102.60 90.00 90.00
Closest atoms and distances in Å follow each position.
Sites, in units of the cell vectors:
Dy  0.4152  0.4003  0.5997  7 O 2.31-2.44
O  0.1922  0.3593  0.3229  4 Dy 2.23-2.31
O  0.6922  0.3229  0.3593  4 Dy 2.23-2.31
O  0.7099  0.5752  0.1046  1 W 2.11, 1 Dy 2.32
O  0.1410  0.7855  0.2145  1 W 1.93
O  0.2178  0.0405  0.9595  1 W 2.17, 2 Dy 2.37
O  0.7099  0.8954  0.4248  1 W 2.11, 1 Dy 2.32
O  0.7178  0.9595  0.0405  1 W 2.17, 2 Dy 2.37
O  0.2099  0.4248  0.8954  1 W 2.11, 1 Dy 2.32
W  0.4776  0.8084  0.1916  3 O 1.93-2.11
O  0.2099  0.1046  0.5752  1 W 2.11, 1 Dy 2.32
Dy  0.9648  0.6967  0.9067  6 O 2.23-2.38
O  0.1922  0.6771  0.6407  4 Dy 2.23-2.31
Dy  0.4648  0.9067  0.6967  6 O 2.23-2.38
Dy  0.9648  0.0933  0.3033  6 O 2.23-2.38
O  0.6410  0.2145  0.7855  1 W 1.93
Dy  0.9152  0.5997  0.4003  7 O 2.31-2.44
Dy  0.4648  0.3033  0.0933  6 O 2.23-2.38
W  0.9776  0.1916  0.8084  3 O 1.93-2.11
O  0.6922  0.6407  0.6771  4 Dy 2.23-2.31

---

[6]
DFT (GGA+U) results for Dy2W3O12 after structural relaxation.

Results
SG = C2/c (15)
Crystal system = monoclinic
Calculated density = 7.44 g cm⁻³
Electronic total energy = -7.798 eV per atom

Lattice parameters (Å, degrees): 6.9026 6.9026 11.3996 79.49 79.49 111.72
Closest atoms and distances in Å follow each position.
Sites, in units of the cell vectors:
O  0.9242  0.3409  0.6039  1 W 1.85
O  0.3409  0.9242  0.1039  1 W 1.85
W  0.7532  0.5393  0.9490  4 O 1.78-1.93
O  0.8191  0.9198  0.4582  1 W 1.88
W  0.5393  0.7532  0.4490  4 O 1.78-1.93
O  0.9198  0.8191  0.9582  1 W 1.88
Dy  0.0417  0.2885  0.4073  8 O 2.31-2.47
Dy  0.9583  0.7115  0.5927  8 O 2.31-2.47
O  0.2084  0.1269  0.2805  1 W 1.80
Dy  0.7115  0.9583  0.0927  8 O 2.31-2.47
O  0.3943  0.4695  0.4257  2 W 1.93-2.14
O  0.6591  0.0758  0.8961  1 W 1.85
O  0.1036  0.4651  0.2025  1 W 1.84
W  0.2468  0.4607  0.0510  4 O 1.78-1.93
Dy  0.2885  0.0417  0.9073  8 O 2.31-2.47
O  0.3345  0.7718  0.5611  1 W 1.78
O  0.8964  0.5349  0.7975  1 W 1.84
W  0.4607  0.2468  0.5510  4 O 1.78-1.93
O  0.6057  0.5305  0.5743  2 W 1.93-2.14
O  0.6655  0.2282  0.4389  1 W 1.78
O  0.5305  0.6057  0.0743  2 W 1.93-2.14
W  0.8656  0.1344  0.7500  4 O 1.80-1.85
O  0.1269  0.2084  0.7805  1 W 1.80
W  0.1344  0.8656  0.2500  4 O 1.80-1.85
O  0.1809  0.0802  0.5418  1 W 1.88
O  0.0758  0.6591  0.3961  1 W 1.85
O  0.2282  0.6655  0.9389  1 W 1.78
O  0.7718  0.3345  0.0611  1 W 1.78
O  0.4695  0.3943  0.9257  2 W 1.93-2.14
O  0.4651  0.1036  0.7025  1 W 1.84
O  0.7916  0.8731  0.7195  1 W 1.80
O  0.0802  0.1809  0.0418  1 W 1.88
O  0.5349  0.8964  0.2975  1 W 1.84
O  0.8731  0.7916  0.2195  1 W 1.80